Record 1
A relaxed CuTcBi2 crystal. Source: Alexandria, functional PBE-GGA.

The space group is I-42d (No. 122) and the conventional cell measures 6.359, 6.359 and 11.487 Å, with angles of 90.00, 90.00 and 90.00 degrees. The inequivalent atoms are Cu at (0.000, 0.000, 0.000), Tc at (0.000, 0.000, 0.500) and Bi at (0.247, 0.250, 0.625).

The calculation puts the mass density at 8.29 g/cm³. The calculation puts the formation energy at 318.9 kJ/mol of formula units.


Record 2
A relaxed CuTc2BiTe crystal. Source: Alexandria, functional PBE-GGA.

The space group is P4/mmm (No. 123) and the conventional cell measures 4.906, 4.906 and 4.764 Å, with angles of 90.00, 90.00 and 90.00 degrees. The inequivalent atoms are Cu at (0.000, 0.000, 0.000), Tc at (0.000, 0.500, 0.000), Bi at (0.500, 0.500, 0.500) and Te at (0.000, 0.000, 0.500).

For the formation energy from raw total energies, the calculation gives 125 kJ per mole of atoms. The calculation puts the mass density at 8.63 g/cm³.


Record 3
A relaxed CuTcBi2W crystal. Source: Alexandria, functional PBE-GGA.

The space group is P4/mmm (No. 123) and the conventional cell measures 5.365, 5.365 and 4.819 Å, with angles of 90.00, 90.00 and 90.00 degrees. The inequivalent atoms are Cu at (0.000, 0.000, 0.000), Tc at (0.500, 0.500, 0.000), Bi at (0.000, 0.500, 0.500) and W at (0.500, 0.500, 0.500).

The calculation puts the mass density at 9.14 g/cm³. The calculation puts the formation energy at 717.0 kJ/mol of formula units.


Which of these has the lowest mass density?
CuTcBi2


The lowest mass density belongs to which entry?
CuTcBi2


Look up the mass density of the first one.
8.29 g/cm³